Record 1
Below is a relaxed structure of ZrBr3, with properties calculated at the PBE level.

a = 7.1902 Å, b = 7.1902 Å, c = 7.1902 Å
α = 90.00°, β = 90.00°, γ = 90.00°
Space group Fm-3m (No. 225)
Inequivalent atoms, fractional coordinates:
Zr (0.0000, 0.0000, 0.0000) x4
Br (0.0000, 0.0000, 0.5000) x4
Br (0.2500, 0.2500, 0.2500) x8

Final energy (eV per atom): -3.806
ΔE_f (raw) (eV per formula unit): -1.7
ρ (g/cm³): 5.913


Record 2
Below is a relaxed structure of Mn2PbI8, with properties calculated at the PBE level.

a = 12.6233 Å, b = 11.6868 Å, c = 7.3709 Å
α = 90.00°, β = 101.42°, γ = 90.00°
Space group C2/m (No. 12)
Inequivalent atoms, fractional coordinates:
Mn (0.2160, 0.0000, 0.1548) x4
Pb (0.0000, 0.0000, 0.5000) x2
I (0.0794, 0.5000, 0.7132) x4
I (0.1164, 0.1772, 0.2640) x8
I (0.2273, 0.0000, 0.8053) x4

Final energy (eV per atom): -3.487
ΔE_f (raw) (eV per formula unit): -3.9
ρ (g/cm³): 4.151


Record 3
Below is a relaxed structure of NaTa3As, with properties calculated at the PBE level.

a = 4.8298 Å, b = 4.8298 Å, c = 4.8298 Å
α = 90.00°, β = 90.00°, γ = 90.00°
Space group Pm-3m (No. 221)
Inequivalent atoms, fractional coordinates:
Na (0.0000, 0.0000, 0.0000) x1
Ta (0.0000, 0.5000, 0.5000) x3
As (0.5000, 0.5000, 0.5000) x1

Final energy (eV per atom): -7.213
ΔH_f (0 K) (kcal/mol of atoms): 25.2
ρ (g/cm³): 9.444


Record 4
Below is a relaxed structure of Ho2Fe5SiB2, with properties calculated at the PBE level.

a = 8.9548 Å, b = 8.9548 Å, c = 3.0007 Å
α = 90.00°, β = 90.00°, γ = 90.00°
Space group P4/mbm (No. 127)
Inequivalent atoms, fractional coordinates:
Ho (0.1776, 0.3224, 0.0000) x4
Fe (0.0000, 0.5000, 0.5000) x2
Fe (0.0654, 0.7824, 0.5000) x8
Si (0.0000, 0.0000, 0.0000) x2
B (0.1193, 0.6193, 0.0000) x4

Final energy (eV per atom): -7.274
ΔE_f (raw) (eV per formula unit): -2.5
ρ (g/cm³): 9.093


Record 5
Below is a relaxed structure of Sm14DyPu, with properties calculated at the PBE level.

a = 7.2319 Å, b = 7.2319 Å, c = 10.1710 Å
α = 90.00°, β = 90.00°, γ = 90.00°
Space group P4/mmm (No. 123)
Inequivalent atoms, fractional coordinates:
Sm (0.0000, 0.0000, 0.0000) x1
Sm (0.0000, 0.5000, 0.0000) x2
Sm (0.0000, 0.5000, 0.5000) x2
Sm (0.2485, 0.2485, 0.2535) x8
Sm (0.5000, 0.5000, 0.0000) x1
Dy (0.5000, 0.5000, 0.5000) x1
Pu (0.0000, 0.0000, 0.5000) x1

Final energy (eV per atom): -5.271
ΔH_f (0 K) (kcal/mol of atoms): 1.0
ρ (g/cm³): 7.840


Record 6
Below is a relaxed structure of AcLa3Pt4, with properties calculated at the PBE level.

a = 6.0679 Å, b = 6.0679 Å, c = 6.0679 Å
α = 90.00°, β = 90.00°, γ = 90.00°
Space group Pm-3m (No. 221)
Inequivalent atoms, fractional coordinates:
Ac (0.0000, 0.0000, 0.0000) x1
La (0.0000, 0.5000, 0.5000) x3
Pt (0.0000, 0.0000, 0.5000) x3
Pt (0.5000, 0.5000, 0.5000) x1

Final energy (eV per atom): -6.543
ΔH_f (0 K) (kcal/mol of atoms): -26.8
ρ (g/cm³): 10.584


Record 7
Below is a relaxed structure of Pm4Y3Th2, with properties calculated at the PBE level.

a = 3.5955 Å, b = 3.5955 Å, c = 27.0059 Å
α = 90.00°, β = 90.00°, γ = 120.00°
Space group P3m1 (No. 156)
Inequivalent atoms, fractional coordinates:
Pm (0.0000, 0.0000, 0.0000) x1
Pm (0.0000, 0.0000, 0.2157) x1
Pm (0.3333, 0.6667, 0.3279) x1
Pm (0.3333, 0.6667, 0.5458) x1
Y (0.0000, 0.0000, 0.4358) x1
Y (0.3333, 0.6667, 0.1068) x1
Y (0.3333, 0.6667, 0.7647) x1
Th (0.0000, 0.0000, 0.6553) x1
Th (0.0000, 0.0000, 0.8729) x1

Final energy (eV per atom): -5.837
ΔH_f (0 K) (kcal/mol of atoms): 1.8
ρ (g/cm³): 7.199


Record 8
Below is a relaxed structure of Ba3In2Br8, with properties calculated at the PBE level.

a = 9.9051 Å, b = 5.5525 Å, c = 9.9123 Å
α = 90.00°, β = 108.31°, γ = 90.00°
Space group P2/m (No. 10)
Inequivalent atoms, fractional coordinates:
Ba (0.0000, 0.0000, 0.0000) x1
Ba (0.2810, 0.5000, 0.2813) x2
In (0.2711, 0.0000, 0.7294) x2
Br (0.1125, 0.5000, 0.8875) x2
Br (0.1246, 0.0000, 0.3572) x2
Br (0.3573, 0.0000, 0.1248) x2
Br (0.3750, 0.5000, 0.6250) x2

Final energy (eV per atom): -3.553
ΔE_f (raw) (eV per formula unit): -21.6
ρ (g/cm³): 4.110